Material: TlInCl3
Method: DFT, meta-GGA SCAN
State: PBEsol geometry

The calculation puts the uncorrected formation energy at -1.118 eV/atom.

It has space group P1 (No. 1), with a = 7.540 Å, b = 7.547 Å, c = 7.576 Å, α = 60.20°, β = 60.19° and γ = 60.09°. The inequivalent atoms are Tl at (0.000, 0.000, 0.000), Tl at (0.491, 0.491, 0.526), In at (0.213, 0.213, 0.361), In at (0.707, 0.707, 0.878), Cl at (0.023, 0.845, 0.657), Cl at (0.383, 0.575, 0.128), Cl at (0.476, 0.022, 0.656), Cl at (0.575, 0.913, 0.128), Cl at (0.846, 0.475, 0.656) and Cl at (0.913, 0.384, 0.128).

***

Material: AgPtIN2
Method: DFT, meta-GGA SCAN
State: PBEsol geometry

The calculation puts the uncorrected formation energy at 1.793 eV/atom.

It has space group P4/mmm (No. 123), with a = 3.893 Å, b = 3.893 Å, c = 6.854 Å, α = 90.00°, β = 90.00° and γ = 90.00°. The inequivalent atoms are Ag at (0.000, 0.000, 0.000), Pt at (0.500, 0.500, 0.500), I at (0.000, 0.000, 0.500) and N at (0.000, 0.500, 0.000).

***

Material: Mn2BeP
Method: DFT, meta-GGA SCAN
State: PBEsol geometry

Its energy above the lowest structure with this stoichiometry is 0.64 eV/f.u. For the formation enthalpy at 0 K, the calculation gives -3.45 kcal/mol of atoms.

It has space group Imm2 (No. 44), with a = 2.798 Å, b = 3.603 Å, c = 7.678 Å, α = 90.00°, β = 90.00° and γ = 90.00°. The inequivalent atoms are Mn at (0.000, 0.000, 0.000), Mn at (0.000, 0.500, 0.249), Be at (0.000, 0.000, 0.495) and P at (0.000, 0.500, 0.735).

***

Material: TaCoPt2
Method: DFT, meta-GGA SCAN
State: PBEsol geometry

Its energy above the lowest structure with this stoichiometry is 0.51 eV/f.u. For the formation enthalpy at 0 K, the calculation gives -12.92 kcal/mol of atoms.

It has space group P4/mmm (No. 123), with a = 3.806 Å, b = 3.806 Å, c = 3.907 Å, α = 90.00°, β = 90.00° and γ = 90.00°. The inequivalent atoms are Ta at (0.000, 0.000, 0.000), Co at (0.500, 0.500, 0.000) and Pt at (0.000, 0.500, 0.500).